# 1
First-principles (PBE) data for crystalline KGa2HgPt at its relaxed geometry, as listed in Alexandria via LeMat-Bulk.

Values from the calculation:
- Space group: P4/mmm
- Spin magnetization: 0.00 μB/f.u.
- Excess energy over the best structure of this formula in the dataset: 0.014 eV/atom
- Density of states at the Fermi level: 0.50 states/eV per atom
- DFT formation energy: -0.255 eV/atom

Cell and atoms, written as POSCAR:
```
KGa2HgPt
1.0
-2.574 -3.751 1.633
2.221 -2.902 -3.163
4.555 -1.238 4.335
Hg Ga Pt K
1 2 1 1
direct
0.500 0.500 0.500
0.000 0.500 0.000
0.500 0.000 0.000
0.000 0.000 0.000
0.000 0.000 0.500
```

# 2
First-principles (PBE) data for crystalline BaHfS3 at its relaxed geometry, as listed in Alexandria via LeMat-Bulk.

Values from the calculation:
- Space group: Pnma
- Spin magnetization: 0.00 μB/f.u.
- Formation energy from raw total energies: -1.836 eV/atom

Cell and atoms, written as POSCAR:
```
BaHfS3
1.0
3.880 0.000 0.000
0.000 8.828 0.000
0.000 0.000 14.489
S Ba Hf
12 4 4
direct
0.750 0.826 0.005
0.250 0.674 0.505
0.250 0.020 0.398
0.750 0.980 0.602
0.250 0.520 0.102
0.250 0.174 0.995
0.250 0.780 0.790
0.750 0.326 0.495
0.750 0.480 0.898
0.250 0.280 0.710
0.750 0.720 0.290
0.750 0.220 0.210
0.250 0.938 0.175
0.250 0.438 0.325
0.750 0.062 0.825
0.750 0.562 0.675
0.750 0.837 0.442
0.250 0.663 0.942
0.750 0.337 0.058
0.250 0.163 0.558
```

# 3
First-principles (PBE) data for crystalline RbBeTe2N at its relaxed geometry, as listed in Alexandria via LeMat-Bulk.

Values from the calculation:
- Space group: P4/mmm
- Spin magnetization: 0.00 μB/f.u.
- Excess energy over the best structure of this formula in the dataset: 2.110 eV/atom
- Density of states at the Fermi level: 1.50 states/eV per atom
- Formation energy from raw total energies: 2.216 eV/atom

Cell and atoms, written as POSCAR:
```
RbBeTe2N
1.0
6.357 0.000 0.000
0.000 6.357 0.000
0.000 0.000 4.157
Be Te Rb N
1 2 1 1
direct
0.500 0.500 0.500
0.500 0.000 0.000
0.000 0.500 0.000
0.000 0.000 0.000
0.000 0.000 0.500
```

# 4
First-principles (PBE) data for crystalline Pr4Nd2Ho3 at its relaxed geometry, as listed in Alexandria via LeMat-Bulk.

Values from the calculation:
- Space group: P3m1
- Spin magnetization: 0.00 μB/f.u.
- Excess energy over the best structure of this formula in the dataset: 0.039 eV/atom
- Density of states at the Fermi level: 1.84 states/eV per atom
- DFT formation energy: 0.055 eV/atom

Cell and atoms, written as POSCAR:
```
Pr4Nd2Ho3
1.0
3.646 0.000 0.000
-1.823 3.158 0.000
0.000 0.000 27.215
Pr Nd Ho
4 2 3
direct
0.000 0.000 0.761
0.000 0.000 0.547
0.667 0.333 0.219
0.667 0.333 0.431
0.667 0.333 0.086
0.667 0.333 0.875
0.000 0.000 0.323
0.000 0.000 0.982
0.667 0.333 0.654
```

# 5
First-principles (PBE) data for crystalline InCoPCl2 at its relaxed geometry, as listed in Alexandria via LeMat-Bulk.

Values from the calculation:
- Space group: P4/mmm
- Spin magnetization: 0.00 μB/f.u.
- Excess energy over the best structure of this formula in the dataset: 0.000 eV/atom
- Density of states at the Fermi level: 0.57 states/eV per atom
- Formation energy from raw total energies: -0.078 eV/atom

Cell and atoms, written as POSCAR:
```
InCoPCl2
1.0
4.991 0.000 0.000
0.000 4.991 0.000
0.000 0.000 4.260
In Cl P Co
1 2 1 1
direct
0.500 0.500 0.500
0.500 0.000 0.000
0.000 0.500 0.000
0.000 0.000 0.500
0.000 0.000 0.000
```

# 6
First-principles (PBE) data for crystalline SiP2Ru at its relaxed geometry, as listed in Alexandria via LeMat-Bulk.

Values from the calculation:
- Space group: P1
- Spin magnetization: 0.00 μB/f.u.
- Density of states at the Fermi level: 0.15 states/eV per atom
- Formation energy from raw total energies: -0.202 eV/atom

Cell and atoms, written as POSCAR:
```
SiP2Ru
1.0
3.434 -0.028 0.003
-0.861 3.996 -0.005
-0.927 -0.681 4.515
Si P Ru
1 2 1
direct
0.467 0.485 0.030
0.717 0.415 0.506
0.074 0.861 0.083
0.136 0.051 0.614
```

# 7
First-principles (PBE) data for crystalline Ho3TiO at its relaxed geometry, as listed in Alexandria via LeMat-Bulk.

Values from the calculation:
- Space group: Pm-3m
- Spin magnetization: 1.52 μB/f.u.
- Density of states at the Fermi level: 1.31 states/eV per atom
- Formation energy from raw total energies: -1.043 eV/atom

Cell and atoms, written as POSCAR:
```
Ho3TiO
1.0
-4.691 0.778 0.003
-0.763 -4.594 -0.959
-0.154 -0.946 4.657
O Ho Ti
1 3 1
direct
0.000 0.000 0.000
0.500 0.000 0.000
0.000 0.000 0.500
0.000 0.500 0.000
0.500 0.500 0.500
```

# 8
First-principles (PBE) data for crystalline Nb2NiPd4 at its relaxed geometry, as listed in Alexandria via LeMat-Bulk.

Values from the calculation:
- Space group: I4/mmm
- Spin magnetization: 0.00 μB/f.u.
- Excess energy over the best structure of this formula in the dataset: 0.029 eV/atom
- Density of states at the Fermi level: 0.95 states/eV per atom
- DFT formation energy: 0.118 eV/atom

Cell and atoms, written as POSCAR:
```
Nb2NiPd4
1.0
-2.826 -5.889 -1.281
4.721 -1.284 -4.512
0.554 2.454 4.790
Nb Pd Ni
2 4 1
direct
0.750 0.250 0.500
0.250 0.750 0.500
0.204 0.795 0.999
0.796 0.796 0.001
0.795 0.204 0.999
0.205 0.205 0.001
0.500 0.500 0.000
```

# 9
First-principles (PBE) data for crystalline MgSc2Ru at its relaxed geometry, as listed in Alexandria via LeMat-Bulk.

Values from the calculation:
- Space group: Pm
- Spin magnetization: 0.00 μB/f.u.
- Density of states at the Fermi level: 0.98 states/eV per atom
- DFT formation energy: -0.127 eV/atom

Cell and atoms, written as POSCAR:
```
MgSc2Ru
1.0
4.465 0.000 0.000
0.000 3.222 -0.008
0.000 1.350 5.446
Sc Mg Ru
2 1 1
direct
0.000 0.985 0.939
0.500 0.247 0.272
0.000 0.639 0.494
0.500 0.628 0.795
```

# 10
First-principles (PBE) data for crystalline Hf2HgTe2 at its relaxed geometry, as listed in Alexandria via LeMat-Bulk.

Values from the calculation:
- Space group: I4/mmm
- Spin magnetization: 0.00 μB/f.u.
- Excess energy over the best structure of this formula in the dataset: 0.190 eV/atom
- Density of states at the Fermi level: 1.19 states/eV per atom
- Formation energy from raw total energies: -0.214 eV/atom

Cell and atoms, written as POSCAR:
```
Hf2HgTe2
1.0
-3.791 1.901 -1.202
0.251 -1.984 -3.928
-6.170 -6.827 0.580
Te Hf Hg
2 2 1
direct
0.643 0.643 0.714
0.357 0.357 0.286
0.750 0.250 0.500
0.250 0.750 0.500
0.000 0.000 0.000
```

# 11
First-principles (PBE) data for crystalline TaBeGeRh2 at its relaxed geometry, as listed in Alexandria via LeMat-Bulk.

Values from the calculation:
- Space group: P4/mmm
- Spin magnetization: 0.00 μB/f.u.
- Density of states at the Fermi level: 1.06 states/eV per atom
- DFT formation energy: 1.071 eV/atom

Cell and atoms, written as POSCAR:
```
TaBeGeRh2
1.0
4.473 0.000 0.000
0.000 4.767 0.000
0.000 0.000 4.473
Rh Ta Ge Be
2 1 1 1
direct
0.000 0.000 0.500
0.500 0.000 0.000
0.000 0.500 0.000
0.000 0.000 0.000
0.500 0.500 0.500
```

# 12
First-principles (PBE) data for crystalline LaAlNF2 at its relaxed geometry, as listed in Alexandria via LeMat-Bulk.

Values from the calculation:
- Space group: P4/mmm
- Spin magnetization: 0.00 μB/f.u.
- Excess energy over the best structure of this formula in the dataset: 0.619 eV/atom
- Density of states at the Fermi level: 0.06 states/eV per atom
- Formation energy from raw total energies: -1.528 eV/atom

Cell and atoms, written as POSCAR:
```
LaAlNF2
1.0
4.769 0.000 0.000
0.000 4.769 0.000
0.000 0.000 4.378
N La Al F
1 1 1 2
direct
0.000 0.000 0.500
0.000 0.000 0.000
0.500 0.500 0.500
0.500 0.000 0.000
0.000 0.500 0.000
```